This record from Alexandria via LeMat-Bulk describes a relaxed structure of BeOs2Cl. The functional is PBE.

Summary:
**Symmetry**: F-43m, No. 216
**Energy**: -5.822 eV per atom
**Uncorrected formation energy**: 1.19 eV/atom
**Offset from the most stable computed form**: 954 meV per atom
**D(E_F)**: 1.4285 states/eV per atom

Cell: 4.3088 4.3088 4.3088 Å, 60.00 60.00 60.00°
Last column: nearest neighbours and their distance in Å.
Sites, in units of the cell vectors:
Be  0.0000  0.0000  0.0000  4 Cl 2.64, 4 Os 2.64
Os  0.5000  0.5000  0.5000  4 Cl 2.64, 4 Os 2.64
Os  0.7500  0.7500  0.7500  4 Os 2.64, 4 Be 2.64
Cl  0.2500  0.2500  0.2500  4 Be 2.64, 4 Os 2.64